Record 1
Crystalline MnTcIr2 at its relaxed geometry, computed with PBEsol.

Results
- space group = Cmmm (65)
- distance to the lowest polymorph of the same formula (meV per atom) = 14
- calculated formation energy (eV per atom) = -0.15

abc: 5.336 7.503 2.673
angles: 90.00 90.00 90.00
Positions (direct):
Mn 0.000 0.000 0.000
Mn 0.500 0.500 0.000
Tc 0.000 0.500 0.000
Tc 0.500 0.000 0.000
Ir 0.250 0.250 0.500
Ir 0.250 0.750 0.500
Ir 0.750 0.250 0.500
Ir 0.750 0.750 0.500

=====

Record 2
Crystalline BaZrF6 at its relaxed geometry, computed with PBEsol.

Results
- space group = P2_1/c (14)
- total energy (eV per atom) = -6.723

abc: 6.513 9.480 9.138
angles: 90.00 127.25 90.00
Positions (direct):
Ba 0.088 0.180 0.363
Ba 0.088 0.320 0.863
Ba 0.912 0.680 0.137
Ba 0.912 0.820 0.637
Zr 0.379 0.535 0.636
Zr 0.379 0.965 0.136
Zr 0.621 0.035 0.864
Zr 0.621 0.465 0.364
F 0.047 0.032 0.884
F 0.047 0.468 0.384
F 0.181 0.719 0.530
F 0.181 0.781 0.030
F 0.229 0.037 0.677
F 0.229 0.463 0.177
F 0.335 0.156 0.210
F 0.335 0.344 0.710
F 0.427 0.604 0.861
F 0.427 0.896 0.361
F 0.484 0.623 0.471
F 0.484 0.877 0.971
F 0.516 0.123 0.029
F 0.516 0.377 0.529
F 0.573 0.104 0.639
F 0.573 0.396 0.139
F 0.665 0.656 0.290
F 0.665 0.844 0.790
F 0.771 0.537 0.823
F 0.771 0.963 0.323
F 0.819 0.219 0.970
F 0.819 0.281 0.470
F 0.953 0.532 0.616
F 0.953 0.968 0.116

=====

Record 3
Crystalline TlTeIr2 at its relaxed geometry, computed with PBEsol.

Results
- space group = Imm2 (44)
- distance to the lowest polymorph of the same formula (meV per atom) = 63

abc: 3.087 4.343 11.463
angles: 90.00 90.00 90.00
Positions (direct):
Tl 0.000 0.000 0.000
Tl 0.500 0.500 0.500
Te 0.000 0.500 0.761
Te 0.500 0.000 0.261
Ir 0.000 0.000 0.454
Ir 0.000 0.500 0.165
Ir 0.500 0.000 0.665
Ir 0.500 0.500 0.954

=====

Record 4
Crystalline Zr2ScRe at its relaxed geometry, computed with PBEsol.

Results
- space group = I-4m2 (119)
- calculated formation energy (eV per atom) = 0.12

abc: 4.033 4.033 9.453
angles: 90.00 90.00 90.00
Positions (direct):
Zr 0.000 0.000 0.000
Zr 0.000 0.500 0.250
Zr 0.500 0.000 0.750
Zr 0.500 0.500 0.500
Sc 0.000 0.500 0.750
Sc 0.500 0.000 0.250
Re 0.000 0.000 0.500
Re 0.500 0.500 0.000

=====

Record 5
Crystalline Al2ZnRh at its relaxed geometry, computed with PBEsol.

Results
- space group = I-4m2 (119)
- calculated formation energy (eV per atom) = -0.53

abc: 3.744 3.744 7.844
angles: 90.00 90.00 90.00
Positions (direct):
Al 0.000 0.000 0.000
Al 0.000 0.500 0.250
Al 0.500 0.000 0.750
Al 0.500 0.500 0.500
Zn 0.000 0.000 0.500
Zn 0.500 0.500 0.000
Rh 0.000 0.500 0.750
Rh 0.500 0.000 0.250

=====

Record 6
Crystalline BaSr2Sb at its relaxed geometry, computed with PBEsol.

Results
- space group = I-4m2 (119)
- total energy (eV per atom) = -3.033

abc: 5.136 5.136 11.369
angles: 90.00 90.00 90.00
Positions (direct):
Ba 0.000 0.000 0.000
Ba 0.500 0.500 0.500
Sr 0.000 0.000 0.500
Sr 0.000 0.500 0.750
Sr 0.500 0.000 0.250
Sr 0.500 0.500 0.000
Sb 0.000 0.500 0.250
Sb 0.500 0.000 0.750

=====

Record 7
Crystalline RbEr3F10 at its relaxed geometry, computed with PBEsol.

Results
- space group = P6_3mc (186)
- total energy (eV per atom) = -6.548

abc: 8.062 8.062 13.171
angles: 90.00 90.00 120.00
Positions (direct):
Rb 0.000 0.000 0.000
Rb 0.000 0.000 0.500
Rb 0.333 0.667 0.240
Rb 0.667 0.333 0.740
Er 0.012 0.506 0.986
Er 0.175 0.349 0.747
Er 0.175 0.825 0.747
Er 0.349 0.175 0.247
Er 0.494 0.506 0.986
Er 0.494 0.988 0.986
Er 0.506 0.012 0.486
Er 0.506 0.494 0.486
Er 0.651 0.825 0.747
Er 0.825 0.175 0.247
Er 0.825 0.651 0.247
Er 0.988 0.494 0.486
F 0.005 0.340 0.616
F 0.005 0.665 0.616
F 0.039 0.520 0.811
F 0.110 0.220 0.277
F 0.110 0.890 0.277
F 0.184 0.368 0.922
F 0.184 0.816 0.922
F 0.220 0.110 0.777
F 0.222 0.444 0.449
F 0.222 0.778 0.449
F 0.333 0.667 0.030
F 0.333 0.667 0.699
F 0.335 0.340 0.616
F 0.335 0.995 0.616
F 0.340 0.005 0.116
F 0.340 0.335 0.116
F 0.368 0.184 0.422
F 0.444 0.222 0.949
F 0.480 0.520 0.811
F 0.480 0.961 0.811
F 0.520 0.039 0.311
F 0.520 0.480 0.311
F 0.556 0.778 0.449
F 0.632 0.816 0.922
F 0.660 0.665 0.616
F 0.660 0.995 0.616
F 0.665 0.005 0.116
F 0.665 0.660 0.116
F 0.667 0.333 0.199
F 0.667 0.333 0.530
F 0.778 0.222 0.949
F 0.778 0.556 0.949
F 0.780 0.890 0.277
F 0.816 0.184 0.422
F 0.816 0.632 0.422
F 0.890 0.110 0.777
F 0.890 0.780 0.777
F 0.961 0.480 0.311
F 0.995 0.335 0.116
F 0.995 0.660 0.116

=====

Record 8
Crystalline BePtS2 at its relaxed geometry, computed with PBEsol.

Results
- space group = R-3m (166)
- total energy (eV per atom) = -5.214

abc: 3.065 3.065 21.063
angles: 90.00 90.00 120.00
Positions (direct):
Be 0.000 0.000 0.000
Be 0.333 0.667 0.667
Be 0.667 0.333 0.333
Pt 0.000 0.000 0.500
Pt 0.333 0.667 0.167
Pt 0.667 0.333 0.833
S 0.000 0.000 0.394
S 0.000 0.000 0.606
S 0.333 0.667 0.060
S 0.333 0.667 0.273
S 0.667 0.333 0.727
S 0.667 0.333 0.940